{"formula": "RbPmCoO3", "functional": "PBE with a Hubbard U", "state": "optimized geometry", "lattice_angstrom": [[-1.9227, -1.8979, -2.4630], [5.9812, -5.2753, -0.6043], [-4.9218, -2.9406, 6.1081]], "species": ["Rb", "Rb", "O", "O", "O", "O", "O", "O", "Pm", "Pm", "Co", "Co"], "fractional_positions": [[0.2500, 0.1910, 0.2058], [0.7500, 0.8090, 0.7942], [0.7500, 0.8494, 0.1492], [0.2500, 0.1506, 0.8508], [0.2500, 0.5412, 0.8680], [0.7500, 0.4588, 0.1320], [0.7500, 0.1550, 0.5545], [0.2500, 0.8450, 0.4455], [0.2500, 0.6537, 0.1511], [0.7500, 0.3463, 0.8489], [0.2500, 0.0766, 0.6140], [0.7500, 0.9234, 0.3860]], "e_tot_ry_per_atom": -0.4637, "dos_at_fermi_per_ev_fu": 0.000, "space_group": "P2_1/m (11)"}